[1]
DFT (PBEsol) results for MoW2C after structural relaxation.

Calculated formation energy   0.910 eV/f.u.
Symmetry   Cm (8)
E_tot   -96.2 eV per cell

Lattice parameters (Å, degrees): 8.4030 2.9112 4.8519 90.00 117.49 90.00
Last column: nearest neighbours and their distance in Å.
Sites, in units of the cell vectors:
Mo  0.0000  0.0000  0.0000  2 C 2.17
Mo  0.5000  0.5000  0.0000  2 C 2.17
W  0.1857  0.0000  0.7001  2 C 2.16
W  0.3726  0.0000  0.3661  3 C 2.29-2.43
W  0.6857  0.5000  0.7001  2 C 2.16
W  0.8726  0.5000  0.3661  3 C 2.29-2.43
C  0.1577  0.5000  0.3508  4 W 2.16-2.29, 2 Mo 2.17
C  0.6577  0.0000  0.3508  4 W 2.16-2.29, 2 Mo 2.17



[2]
DFT (PBEsol) results for YMoC3 after structural relaxation.

Calculated formation energy   14.869 eV/f.u.
Symmetry   Pm-3m (221)
E_tot   -32.7 eV per cell

Lattice parameters (Å, degrees): 4.2015 4.2015 4.2015 90.00 90.00 90.00
Last column: nearest neighbours and their distance in Å.
Sites, in units of the cell vectors:
Y  0.0000  0.0000  0.0000  6 C 2.10
Mo  0.5000  0.5000  0.5000  12 C 2.97
C  0.0000  0.0000  0.5000  2 Y 2.10
C  0.0000  0.5000  0.0000  2 Y 2.10
C  0.5000  0.0000  0.0000  2 Y 2.10



[3]
DFT (PBEsol) results for ZnMo2C after structural relaxation.

Calculated formation energy   3.879 eV/f.u.
Symmetry   Fm-3m (225)
E_tot   -123.5 eV per cell

Lattice parameters (Å, degrees): 5.7719 5.7719 5.7719 90.00 90.00 90.00
Last column: nearest neighbours and their distance in Å.
Sites, in units of the cell vectors:
Zn  0.0000  0.0000  0.0000  8 Mo 2.50
Zn  0.0000  0.5000  0.5000  8 Mo 2.50
Zn  0.5000  0.0000  0.5000  8 Mo 2.50
Zn  0.5000  0.5000  0.0000  8 Mo 2.50
Mo  0.2500  0.2500  0.2500  4 C 2.50, 4 Zn 2.50
Mo  0.2500  0.2500  0.7500  4 C 2.50, 4 Zn 2.50
Mo  0.2500  0.7500  0.2500  4 C 2.50, 4 Zn 2.50
Mo  0.2500  0.7500  0.7500  4 C 2.50, 4 Zn 2.50
Mo  0.7500  0.2500  0.2500  4 C 2.50, 4 Zn 2.50
Mo  0.7500  0.2500  0.7500  4 C 2.50, 4 Zn 2.50
Mo  0.7500  0.7500  0.2500  4 C 2.50, 4 Zn 2.50
Mo  0.7500  0.7500  0.7500  4 C 2.50, 4 Zn 2.50
C  0.0000  0.0000  0.5000  8 Mo 2.50
C  0.0000  0.5000  0.0000  8 Mo 2.50
C  0.5000  0.0000  0.0000  8 Mo 2.50
C  0.5000  0.5000  0.5000  8 Mo 2.50



[4]
DFT (PBEsol) results for Zr2MoC after structural relaxation.

Calculated formation energy   -0.422 eV/f.u.
Symmetry   Cm (8)
E_tot   -80.0 eV per cell

Lattice parameters (Å, degrees): 9.0916 2.9616 5.1628 90.00 113.82 90.00
Last column: nearest neighbours and their distance in Å.
Sites, in units of the cell vectors:
Zr  0.0000  0.0000  0.0000  2 C 2.28
Zr  0.1764  0.0000  0.6576  3 C 2.47-2.55
Zr  0.5000  0.5000  0.0000  2 C 2.28
Zr  0.6764  0.5000  0.6576  3 C 2.47-2.55
Mo  0.3307  0.5000  0.3326  2 C 2.10
Mo  0.8307  0.0000  0.3326  2 C 2.10
C  0.4428  0.0000  0.6363  2 Mo 2.10, 2 Zr 2.28
C  0.9428  0.5000  0.6363  2 Mo 2.10, 2 Zr 2.28



[5]
DFT (PBEsol) results for ZrMoC3 after structural relaxation.

Calculated formation energy   12.157 eV/f.u.
Symmetry   Pm-3m (221)
E_tot   -37.6 eV per cell

Lattice parameters (Å, degrees): 4.1101 4.1101 4.1101 90.00 90.00 90.00
Last column: nearest neighbours and their distance in Å.
Sites, in units of the cell vectors:
Zr  0.0000  0.0000  0.0000  6 C 2.06
Mo  0.5000  0.5000  0.5000  12 C 2.91
C  0.0000  0.0000  0.5000  2 Zr 2.06
C  0.0000  0.5000  0.0000  2 Zr 2.06
C  0.5000  0.0000  0.0000  2 Zr 2.06



[6]
DFT (PBEsol) results for NaCN after structural relaxation.

Symmetry   Imm2 (44)
E_tot   -39.9 eV per cell
ΔE to the lowest computed polymorph   0.005 eV per atom
Formation energy from raw total energies   -0.13 eV/atom

Lattice parameters (Å, degrees): 3.5786 5.4799 4.8434 90.00 90.00 90.00
Last column: nearest neighbours and their distance in Å.
Sites, in units of the cell vectors:
Na  0.0000  0.0000  0.0000  2 N 2.48, 2 C 2.65
Na  0.5000  0.5000  0.5000  2 N 2.48, 2 C 2.65
C  0.0000  0.5000  0.9024  1 N 1.18
C  0.5000  0.0000  0.4024  1 N 1.18
N  0.0000  0.5000  0.1457  1 C 1.18
N  0.5000  0.0000  0.6457  1 C 1.18



[7]
DFT (PBEsol) results for NaCN after structural relaxation.

Symmetry   Pmmn (59)
E_tot   -40.0 eV per cell
ΔE to the lowest computed polymorph   0.000 eV per atom
Formation energy from raw total energies   -0.14 eV/atom

Lattice parameters (Å, degrees): 3.5847 5.4098 4.8518 90.00 90.00 90.00
Last column: nearest neighbours and their distance in Å.
Sites, in units of the cell vectors:
Na  0.2500  0.2500  0.2191  4 N 2.48-2.74, 2 C 2.66
Na  0.7500  0.7500  0.7809  4 N 2.48-2.74, 2 C 2.66
C  0.2500  0.7500  0.3765  1 N 1.18
C  0.7500  0.2500  0.6235  1 N 1.18
N  0.2500  0.7500  0.1335  1 C 1.18
N  0.7500  0.2500  0.8665  1 C 1.18



[8]
DFT (PBEsol) results for NaCNO after structural relaxation.

Symmetry   R3m (160)
E_tot   -85.7 eV per cell
Formation energy from raw total energies   -0.93 eV/atom

Lattice parameters (Å, degrees): 3.5975 3.5975 15.1051 90.00 90.00 120.00
Last column: nearest neighbours and their distance in Å.
Sites, in units of the cell vectors:
Na  0.0000  0.0000  0.0000  3 N 2.43, 3 O 2.48
Na  0.3333  0.6667  0.6667  3 N 2.43, 3 O 2.48
Na  0.6667  0.3333  0.3333  3 N 2.43, 3 O 2.48
C  0.0000  0.0000  0.5044  1 N 1.19, 1 O 1.23
C  0.3333  0.6667  0.1710  1 N 1.19, 1 O 1.23
C  0.6667  0.3333  0.8377  1 N 1.19, 1 O 1.23
N  0.0000  0.0000  0.5833  1 C 1.19
N  0.3333  0.6667  0.2500  1 C 1.19
N  0.6667  0.3333  0.9167  1 C 1.19
O  0.0000  0.0000  0.4231  1 C 1.23
O  0.3333  0.6667  0.0898  1 C 1.23
O  0.6667  0.3333  0.7565  1 C 1.23



[9]
DFT (PBEsol) results for NaC2NO3 after structural relaxation.

Symmetry   P2_1/c (14)
E_tot   -209.8 eV per cell
Formation energy from raw total energies   -1.07 eV/atom

Lattice parameters (Å, degrees): 3.4516 5.1811 22.1601 90.00 90.28 90.00
Last column: nearest neighbours and their distance in Å.
Sites, in units of the cell vectors:
Na  0.2128  0.2002  0.3034  5 O 2.34-2.44
Na  0.2128  0.2998  0.8034  5 O 2.34-2.44
Na  0.7872  0.7002  0.1966  5 O 2.34-2.44
Na  0.7872  0.7998  0.6966  5 O 2.34-2.44
C  0.3472  0.1848  0.1649  2 O 1.25-1.26
C  0.3472  0.3152  0.6649  2 O 1.25-1.26
C  0.3617  0.6718  0.4347  1 O 1.17, 1 N 1.22
C  0.3617  0.8282  0.9347  1 O 1.17, 1 N 1.22
C  0.6383  0.1718  0.0653  1 O 1.17, 1 N 1.22
C  0.6383  0.3282  0.5653  1 O 1.17, 1 N 1.22
C  0.6528  0.6848  0.3351  2 O 1.25-1.26
C  0.6528  0.8152  0.8351  2 O 1.25-1.26
N  0.4684  0.5767  0.3872  1 C 1.22
N  0.4684  0.9233  0.8872  1 C 1.22
N  0.5316  0.0767  0.1128  1 C 1.22
N  0.5316  0.4233  0.6128  1 C 1.22
O  0.2449  0.7406  0.4817  1 C 1.17
O  0.2449  0.7594  0.9817  1 C 1.17
O  0.2753  0.0211  0.2057  1 C 1.26
O  0.2753  0.4789  0.7057  1 C 1.26
O  0.2810  0.0774  0.6656  1 C 1.25
O  0.2810  0.4226  0.1656  1 C 1.25
O  0.7190  0.5774  0.8344  1 C 1.25
O  0.7190  0.9226  0.3344  1 C 1.25
O  0.7247  0.5211  0.2943  1 C 1.26
O  0.7247  0.9789  0.7943  1 C 1.26
O  0.7551  0.2406  0.0183  1 C 1.17
O  0.7551  0.2594  0.5183  1 C 1.17



[10]
DFT (PBEsol) results for Na2CSN after structural relaxation.

Symmetry   P4/mmm (123)
E_tot   -19.7 eV per cell
Formation energy from raw total energies   1.12 eV/atom

Lattice parameters (Å, degrees): 4.9089 4.9089 3.4901 90.00 90.00 90.00
Last column: nearest neighbours and their distance in Å.
Sites, in units of the cell vectors:
Na  0.0000  0.5000  0.0000  2 C 2.45
Na  0.5000  0.0000  0.0000  2 C 2.45
C  0.0000  0.0000  0.0000  2 S 1.75
S  0.0000  0.0000  0.5000  2 C 1.75
N  0.5000  0.5000  0.5000  8 Na 3.01